{"formula": "Er3PaTl4Te8", "functional": "PBE", "state": "relaxed", "raw_formation_energy_ev_per_atom": -0.91, "sg": "R-3m", "lattice_angstrom": [[-5.818, 4.201, -5.113], [-2.188, -8.378, -4.393], [-0.845, 0.259, 8.768]], "species": ["Er", "Er", "Er", "Pa", "Tl", "Tl", "Tl", "Tl", "Te", "Te", "Te", "Te", "Te", "Te", "Te", "Te"], "frac_coords": [[0.500, 0.500, 0.000], [0.500, 0.500, 0.500], [0.000, 0.500, 0.500], [0.000, 0.500, 0.000], [0.500, 0.000, 0.000], [0.500, 0.000, 0.500], [0.000, 0.000, 0.000], [0.000, 0.000, 0.500], [0.240, 0.715, 0.975], [0.240, 0.715, 0.480], [0.263, 0.290, 0.526], [0.735, 0.715, 0.975], [0.265, 0.285, 0.025], [0.737, 0.710, 0.474], [0.760, 0.285, 0.520], [0.760, 0.285, 0.025]]}

{"formula": "ErThPa", "functional": "PBE", "state": "relaxed", "de_polymorph_mev_per_atom": 133.0, "sg": "P-6m2", "ef_kj_per_mol_atoms": 26.4, "lattice_angstrom": [[-2.582, 1.709, 1.244], [-2.865, -4.668, 0.465], [3.146, 1.720, 4.166]], "species": ["Pa", "Th", "Er"], "frac_coords": [[0.167, 0.333, 0.667], [0.667, 0.667, 0.333], [0.166, 0.000, 0.000]]}

{"formula": "ErTh2Pa", "functional": "PBE", "state": "relaxed", "de_polymorph_mev_per_atom": 0.0, "sg": "P4/mmm", "ef_kj_per_mol_atoms": 7.6, "lattice_angstrom": [[-1.426, -1.898, -2.567], [3.187, -1.014, -1.020], [-0.533, -7.711, 5.998]], "species": ["Pa", "Th", "Th", "Er"], "frac_coords": [[0.500, 0.500, 0.000], [0.000, 0.000, 0.759], [0.000, 0.000, 0.241], [0.500, 0.500, 0.500]]}

{"formula": "Er2ThPa", "functional": "PBE", "state": "relaxed", "de_polymorph_mev_per_atom": 149.2, "sg": "P4/mmm", "ef_kj_per_mol_atoms": 29.4, "lattice_angstrom": [[-3.206, 1.051, -1.038], [0.086, -3.932, -4.248], [-2.421, -3.883, 3.546]], "species": ["Pa", "Th", "Er", "Er"], "frac_coords": [[0.500, 0.500, 0.500], [0.500, 0.000, 0.000], [0.000, 0.000, 0.500], [0.000, 0.500, 0.000]]}

{"formula": "ErTh2Pa", "functional": "PBE", "state": "relaxed", "de_polymorph_mev_per_atom": 185.1, "sg": "Fm-3m", "ef_kj_per_mol_atoms": 25.4, "lattice_angstrom": [[5.525, 0.000, 0.000], [2.763, 4.785, 0.000], [2.763, 1.595, 4.511]], "species": ["Pa", "Th", "Th", "Er"], "frac_coords": [[0.000, 0.000, 0.000], [0.250, 0.250, 0.250], [0.750, 0.750, 0.750], [0.500, 0.500, 0.500]]}

{"formula": "ErTh2Pa", "functional": "PBE", "state": "relaxed", "de_polymorph_mev_per_atom": 225.2, "sg": "R-3m", "ef_kj_per_mol_atoms": 29.3, "lattice_angstrom": [[3.375, 0.000, 0.000], [1.687, 2.923, 0.000], [1.687, 0.974, 12.219]], "species": ["Pa", "Th", "Th", "Er"], "frac_coords": [[0.000, 0.000, 0.000], [0.086, 0.086, 0.743], [0.914, 0.914, 0.257], [0.500, 0.500, 0.500]]}

{"formula": "ErThPa", "functional": "PBE", "state": "relaxed", "de_polymorph_mev_per_atom": 0.0, "sg": "I4mm", "ef_kj_per_mol_atoms": 13.6, "lattice_angstrom": [[-1.222, -1.279, -2.879], [-1.750, -2.293, 1.761], [-4.443, 6.601, 0.936]], "species": ["Pa", "Th", "Er"], "frac_coords": [[0.333, 0.333, 0.666], [0.673, 0.673, 0.347], [0.994, 0.994, 0.988]]}

{"formula": "ErThPa", "functional": "PBE", "state": "relaxed", "de_polymorph_mev_per_atom": 200.7, "sg": "P4/nmm", "ef_kj_per_mol_atoms": 33.0, "lattice_angstrom": [[-3.390, -2.976, 1.351], [3.257, -3.237, 1.042], [0.479, 2.981, 7.767]], "species": ["Pa", "Pa", "Er", "Er", "Th", "Th"], "frac_coords": [[0.000, 0.000, 0.000], [0.500, 0.500, 0.000], [0.000, 0.500, 0.700], [0.500, 0.000, 0.300], [0.000, 0.500, 0.280], [0.500, 0.000, 0.720]]}

{"formula": "ErTh2Pa", "functional": "PBE", "state": "relaxed", "de_polymorph_mev_per_atom": 80.2, "sg": "P4/mmm", "ef_kj_per_mol_atoms": 15.3, "lattice_angstrom": [[-0.712, -3.010, -3.656], [4.020, -2.610, 1.366], [-2.851, -2.866, 2.915]], "species": ["Pa", "Th", "Th", "Er"], "frac_coords": [[0.500, 0.000, 0.000], [0.000, 0.000, 0.500], [0.000, 0.500, 0.000], [0.500, 0.500, 0.500]]}

{"formula": "Er2ThPa", "functional": "PBE", "state": "relaxed", "de_polymorph_mev_per_atom": 0.0, "sg": "P4/mmm", "ef_kj_per_mol_atoms": 15.0, "lattice_angstrom": [[3.402, 0.000, 0.000], [0.000, 3.402, 0.000], [0.000, 0.000, 10.139]], "species": ["Pa", "Th", "Er", "Er"], "frac_coords": [[0.500, 0.500, 0.000], [0.500, 0.500, 0.500], [0.000, 0.000, 0.766], [0.000, 0.000, 0.234]]}

{"formula": "ErTmThPa", "functional": "PBE", "state": "relaxed", "sg": "F-43m", "ef_kj_per_mol_atoms": 33.3, "lattice_angstrom": [[5.520, 0.000, 0.000], [2.760, 4.781, 0.000], [2.760, 1.594, 4.507]], "species": ["Pa", "Tm", "Th", "Er"], "frac_coords": [[0.750, 0.750, 0.750], [0.250, 0.250, 0.250], [0.500, 0.500, 0.500], [0.000, 0.000, 0.000]]}

{"formula": "ErPa2Ti", "functional": "PBE", "state": "relaxed", "sg": "P4/mmm", "ef_kj_per_mol_atoms": 20.0, "lattice_angstrom": [[-2.148, -1.781, -1.397], [1.073, -2.497, 1.534], [-6.313, 1.822, 7.383]], "species": ["Pa", "Pa", "Ti", "Er"], "frac_coords": [[0.000, 0.000, 0.773], [0.000, 0.000, 0.227], [0.500, 0.500, 0.000], [0.500, 0.500, 0.500]]}

{"formula": "ErPaTi2", "functional": "PBE", "state": "relaxed", "sg": "P4/mmm", "ef_kj_per_mol_atoms": 9.0, "lattice_angstrom": [[3.616, 0.000, 0.000], [0.000, 3.616, 0.000], [0.000, 0.000, 6.884]], "species": ["Pa", "Ti", "Ti", "Er"], "frac_coords": [[0.500, 0.500, 0.000], [0.000, 0.000, 0.799], [0.000, 0.000, 0.201], [0.500, 0.500, 0.500]]}

{"formula": "ErPaTl", "functional": "PBE", "state": "relaxed", "de_polymorph_mev_per_atom": 181.4, "sg": "P3m1", "ef_kj_per_mol_atoms": 23.9, "lattice_angstrom": [[3.289, 0.000, 0.000], [0.000, 5.380, 0.000], [0.000, -2.690, 4.659]], "species": ["Tl", "Pa", "Er"], "frac_coords": [[0.386, 0.333, 0.667], [0.038, 0.000, 0.000], [0.577, 0.667, 0.333]]}

{"formula": "ErPaTl", "functional": "PBE", "state": "relaxed", "de_polymorph_mev_per_atom": 177.2, "sg": "Fmmm", "ef_kj_per_mol_atoms": 23.5, "lattice_angstrom": [[6.216, 0.000, 0.000], [3.108, 4.243, 0.000], [3.108, 0.000, 6.443]], "species": ["Er", "Er", "Pa", "Pa", "Tl", "Tl"], "frac_coords": [[0.750, 0.500, 0.500], [0.250, 0.500, 0.500], [0.848, 0.304, 0.000], [0.152, 0.696, 0.000], [0.615, 0.000, 0.770], [0.385, 0.000, 0.230]]}

{"formula": "ErPaTl", "functional": "PBE", "state": "relaxed", "de_polymorph_mev_per_atom": 0.0, "sg": "I4mm", "ef_kj_per_mol_atoms": 6.4, "lattice_angstrom": [[3.272, 0.000, 0.000], [0.000, 3.272, 0.000], [-1.636, -1.636, 7.502]], "species": ["Tl", "Pa", "Er"], "frac_coords": [[0.668, 0.668, 0.336], [0.001, 0.001, 0.001], [0.331, 0.331, 0.663]]}

{"formula": "ErPaTlZn", "functional": "PBE", "state": "relaxed", "sg": "F-43m", "ef_kj_per_mol_atoms": 5.1, "lattice_angstrom": [[5.200, 0.000, 0.000], [2.600, 4.503, 0.000], [2.600, 1.501, 4.246]], "species": ["Tl", "Pa", "Zn", "Er"], "frac_coords": [[0.000, 0.000, 0.000], [0.750, 0.750, 0.750], [0.500, 0.500, 0.500], [0.250, 0.250, 0.250]]}

{"formula": "ErTmPa", "functional": "PBE", "state": "relaxed", "de_polymorph_mev_per_atom": 36.8, "sg": "I4mm", "ef_kj_per_mol_atoms": 13.2, "lattice_angstrom": [[3.383, 0.000, 0.000], [0.000, 3.383, 0.000], [-1.692, -1.692, 7.431]], "species": ["Pa", "Tm", "Er"], "frac_coords": [[0.333, 0.333, 0.666], [0.675, 0.675, 0.350], [0.992, 0.992, 0.984]]}

{"formula": "ErTmPa", "functional": "PBE", "state": "relaxed", "de_polymorph_mev_per_atom": 67.1, "sg": "C2/m", "ef_kj_per_mol_atoms": 16.1, "lattice_angstrom": [[5.831, 0.576, -0.385], [3.525, 4.658, 0.595], [2.304, -0.254, 6.477]], "species": ["Er", "Er", "Tm", "Tm", "Pa", "Pa"], "frac_coords": [[0.836, 0.859, 0.200], [0.495, 0.517, 0.381], [0.163, 0.186, 0.554], [0.168, 0.190, 0.028], [0.832, 0.855, 0.718], [0.499, 0.521, 0.864]]}

{"formula": "ErTmPa", "functional": "PBE", "state": "relaxed", "de_polymorph_mev_per_atom": 44.8, "sg": "Cmcm", "ef_kj_per_mol_atoms": 14.0, "lattice_angstrom": [[5.122, 0.000, 0.000], [0.000, 3.303, 0.000], [0.000, 1.652, 10.162]], "species": ["Tm", "Tm", "Pa", "Pa", "Er", "Er"], "frac_coords": [[0.250, 0.118, 0.764], [0.750, 0.882, 0.236], [0.250, 0.467, 0.065], [0.750, 0.533, 0.935], [0.750, 0.708, 0.585], [0.250, 0.292, 0.415]]}

{"formula": "ErTmPa", "functional": "PBE", "state": "relaxed", "de_polymorph_mev_per_atom": 0.0, "sg": "P3m1", "ef_kj_per_mol_atoms": 9.7, "lattice_angstrom": [[-3.053, 1.418, -0.464], [0.247, -3.070, 1.436], [0.514, 3.600, 7.609]], "species": ["Pa", "Tm", "Er"], "frac_coords": [[0.000, 0.000, 0.000], [0.333, 0.667, 0.679], [0.667, 0.333, 0.322]]}

{"formula": "ErTmZrPa", "functional": "PBE", "state": "relaxed", "sg": "F-43m", "ef_kj_per_mol_atoms": 27.6, "lattice_angstrom": [[-0.358, -3.445, -4.059], [0.863, -5.200, 0.830], [-4.066, -3.448, -0.222]], "species": ["Pa", "Tm", "Zr", "Er"], "frac_coords": [[0.500, 0.500, 0.500], [0.000, 0.000, 0.000], [0.250, 0.250, 0.250], [0.750, 0.750, 0.750]]}

{"formula": "ErUPa", "functional": "PBE", "state": "relaxed", "sg": "I4/mmm", "ef_kj_per_mol_atoms": 23.6, "lattice_angstrom": [[-3.036, 1.466, -0.107], [-0.152, -0.069, 3.369], [7.591, 11.757, -1.104]], "species": ["U", "U", "Pa", "Pa", "Er", "Er"], "frac_coords": [[0.279, 0.279, 0.558], [0.721, 0.721, 0.442], [0.148, 0.148, 0.297], [0.852, 0.852, 0.703], [0.563, 0.563, 0.127], [0.437, 0.437, 0.873]]}

{"formula": "ErPa2V", "functional": "PBE", "state": "relaxed", "sg": "R-3m", "ef_kj_per_mol_atoms": 43.1, "lattice_angstrom": [[3.120, 0.000, 0.000], [1.560, 2.702, 0.000], [1.560, 0.901, 11.128]], "species": ["V", "Pa", "Pa", "Er"], "frac_coords": [[0.500, 0.500, 0.500], [0.095, 0.095, 0.716], [0.905, 0.905, 0.284], [0.000, 0.000, 0.000]]}

{"formula": "Er2PaV", "functional": "PBE", "state": "relaxed", "sg": "R-3m", "ef_kj_per_mol_atoms": 58.1, "lattice_angstrom": [[-3.215, -0.572, -0.011], [-1.400, -1.504, 2.538], [-3.309, 9.165, 5.707]], "species": ["V", "Pa", "Er", "Er"], "frac_coords": [[0.000, 0.000, 0.000], [0.500, 0.500, 0.500], [0.084, 0.084, 0.749], [0.916, 0.916, 0.251]]}

{"formula": "ErPaV", "functional": "PBE", "state": "relaxed", "sg": "C2/m", "ef_kj_per_mol_atoms": 27.2, "lattice_angstrom": [[-3.123, 0.924, 0.763], [-3.651, -3.490, -3.388], [-2.532, -5.900, 4.113]], "species": ["Er", "Er", "Pa", "Pa", "V", "V"], "frac_coords": [[0.398, 0.822, 0.381], [0.602, 0.178, 0.619], [0.135, 0.741, 0.990], [0.865, 0.259, 0.010], [0.834, 0.601, 0.732], [0.166, 0.399, 0.268]]}

{"formula": "ErPaW", "functional": "PBE", "state": "relaxed", "sg": "Fmmm", "ef_kj_per_mol_atoms": 24.5, "lattice_angstrom": [[-2.237, -4.785, 1.525], [3.398, 2.227, 3.704], [-4.666, 3.884, -0.433]], "species": ["Er", "Er", "Pa", "Pa", "W", "W"], "frac_coords": [[0.674, 0.326, 0.000], [0.326, 0.674, 0.000], [0.825, 0.825, 0.651], [0.175, 0.175, 0.349], [0.750, 0.250, 0.500], [0.250, 0.750, 0.500]]}

{"formula": "ErPaW4", "functional": "PBE", "state": "relaxed", "sg": "F-43m", "ef_kj_per_mol_atoms": 10.9, "lattice_angstrom": [[5.526, 0.000, 0.000], [2.763, 4.786, 0.000], [2.763, 1.595, 4.512]], "species": ["Pa", "W", "W", "W", "W", "Er"], "frac_coords": [[0.000, 0.000, 0.000], [0.625, 0.625, 0.124], [0.625, 0.124, 0.625], [0.625, 0.625, 0.625], [0.124, 0.625, 0.625], [0.250, 0.250, 0.250]]}

{"formula": "YErPa", "functional": "PBE", "state": "relaxed", "de_polymorph_mev_per_atom": 0.0, "sg": "P3m1", "ef_kj_per_mol_atoms": 11.9, "lattice_angstrom": [[3.422, 0.000, 0.000], [-1.711, 2.963, 0.000], [0.000, 0.000, 8.509]], "species": ["Y", "Pa", "Er"], "frac_coords": [[0.333, 0.667, 0.679], [0.000, 0.000, 0.002], [0.667, 0.333, 0.320]]}

Energy in eV per atom, matching the order above: -4.521, -6.886, -7.146, -6.206, -6.961, -6.921, -7.019, -6.818, -7.066, -6.355, -6.143, -7.655, -7.369, -5.227, -5.232, -5.409, -4.372, -6.040, -6.009, -6.032, -6.077, -6.483, -8.205, -7.722, -6.333, -7.444, -8.750, -10.865, -6.718
Mass density in Mg/m³, matching the order above: 7.7, 12.0, 12.0, 11.2, 12.0, 11.9, 12.0, 11.3, 12.0, 11.3, 11.2, 11.7, 9.1, 12.1, 11.8, 12.5, 11.2, 11.1, 11.2, 11.0, 11.2, 10.2, 13.4, 12.0, 10.0, 10.8, 13.2, 15.8, 9.4
M_tot in μB/cell, matching the order above: 1.97, 0.01, 0.00, 0.64, 0.00, 0.00, 0.00, 0.00, 0.00, 0.00, 1.65, 0.00, 0.00, 1.63, 0.85, 0.00, 1.02, 0.03, 0.00, 0.00, 0.00, 0.00, 0.00, 1.62, 2.62, 0.00, 0.00, 0.00, 0.00